# 1
Sm3Dy2Tm | the Alexandria database | GGA-PBE | optimized geometry; ρ = 8.07 g/cm³; magnetic moment = 0.00 Bohr magnetons per cell; ΔH_f (0 K) = 0.007 eV per atom
1.0
6.962 -1.128 -1.476
-4.135 9.354 -0.361
-2.158 0.679 6.842
Sm Dy Tm
6 4 2
Direct
0.252 0.001 0.750 Sm
0.748 0.999 0.250 Sm
0.807 0.668 0.861 Sm
0.196 0.335 0.639 Sm
0.804 0.665 0.361 Sm
0.193 0.332 0.139 Sm
0.306 0.669 0.361 Dy
0.305 0.667 0.861 Dy
0.695 0.333 0.139 Dy
0.694 0.331 0.639 Dy
0.252 0.001 0.251 Tm
0.748 0.999 0.749 Tm


# 2
SmDy8Tm2 | the Alexandria database | GGA-PBE | optimized geometry; distance to the lowest polymorph of the same formula = 38 meV/atom; ρ = 8.20 g/cm³; magnetic moment = 0.00 Bohr magnetons per cell; ΔH_f (0 K) = 0.154 eV per atom
1.0
-5.053 0.647 2.126
-1.681 -9.721 -2.300
1.037 -9.242 4.016
Sm Dy Tm
1 8 2
Direct
0.000 0.000 0.000 Sm
0.268 0.132 0.600 Dy
0.268 0.600 0.132 Dy
0.732 0.868 0.400 Dy
0.237 0.547 0.547 Dy
0.732 0.400 0.868 Dy
0.232 0.189 0.189 Dy
0.768 0.811 0.811 Dy
0.763 0.453 0.453 Dy
0.749 0.284 0.284 Tm
0.251 0.716 0.716 Tm


# 3
SmDy4Tm7 | the Alexandria database | GGA-PBE | optimized geometry; distance to the lowest polymorph of the same formula = 0 meV/atom; ρ = 8.90 g/cm³; magnetic moment = 0.00 Bohr magnetons per cell; ΔH_f (0 K) = 0.001 eV per atom
1.0
6.302 -1.837 2.681
0.722 5.695 2.205
2.784 -2.268 10.653
Sm Dy Tm
1 4 7
Direct
0.000 0.000 0.000 Sm
0.414 0.721 0.335 Dy
0.586 0.279 0.665 Dy
0.833 0.778 0.666 Dy
0.167 0.222 0.334 Dy
0.751 0.499 0.000 Tm
0.249 0.501 0.000 Tm
0.085 0.278 0.665 Tm
0.915 0.722 0.335 Tm
0.334 0.778 0.666 Tm
0.500 0.000 0.000 Tm
0.666 0.222 0.334 Tm


# 4
Sm4Dy3Tm4 | the Alexandria database | GGA-PBE | optimized geometry; distance to the lowest polymorph of the same formula = 133 meV/atom; ρ = 8.23 g/cm³; magnetic moment = 0.00 Bohr magnetons per cell; ΔH_f (0 K) = 0.153 eV per atom
1.0
-2.336 1.822 4.801
-2.591 -5.579 -2.458
6.947 -5.665 5.531
Sm Dy Tm
4 3 4
Direct
0.754 0.509 0.791 Sm
0.754 0.509 0.209 Sm
0.884 0.767 0.500 Sm
0.961 0.921 0.000 Sm
0.410 0.820 0.289 Dy
0.410 0.820 0.711 Dy
0.254 0.509 0.000 Dy
0.612 0.223 0.500 Tm
0.553 0.107 0.000 Tm
0.103 0.206 0.699 Tm
0.103 0.206 0.301 Tm


Q: What is the formula in the third record?
A: SmDy4Tm7


Q: What is the formula in the third record?
A: SmDy4Tm7


Q: Look up the ΔH_f (0 K) of the second one.
A: 0.154 eV per atom